(1)
BeNbFeSn: optimized geometry, PBE.

Calculated values
Crystal system   cubic
Polymorph energy (0 for the lowest one)   0.000 eV/atom

Lattice parameters (Å, degrees): 4.333 4.333 4.333 60.00 60.00 60.00
Fractional positions:
Be 0.000 0.000 0.000
Nb 0.750 0.750 0.750
Fe 0.500 0.500 0.500
Sn 0.250 0.250 0.250

(2)
BeNbFeSn: optimized geometry, PBE.

Calculated values
Crystal system   cubic
Polymorph energy (0 for the lowest one)   0.262 eV/atom

Lattice parameters (Å, degrees): 4.420 4.420 4.420 60.00 60.00 60.00
Fractional positions:
Be 0.000 0.000 0.000
Nb 0.250 0.250 0.250
Fe 0.750 0.750 0.750
Sn 0.500 0.500 0.500

(3)
NdBeFe: optimized geometry, PBE.

Calculated values
Crystal system   cubic
Polymorph energy (0 for the lowest one)   0.000 eV/atom

Lattice parameters (Å, degrees): 4.260 4.260 4.260 60.00 60.00 60.00
Fractional positions:
Nd 0.000 0.000 0.000
Be 0.750 0.750 0.750
Fe 0.500 0.500 0.500

(4)
NdBeFe: optimized geometry, PBE.

Calculated values
Crystal system   cubic
Polymorph energy (0 for the lowest one)   0.034 eV/atom

Lattice parameters (Å, degrees): 4.307 4.307 4.307 60.00 60.00 60.00
Fractional positions:
Nd 0.000 0.000 0.000
Be 0.500 0.500 0.500
Fe 0.750 0.750 0.750

(5)
Be2FeNi: optimized geometry, PBE.

Calculated values
Crystal system   cubic
E   -5.4446 eV/atom

Lattice parameters (Å, degrees): 3.787 3.787 3.787 60.00 60.00 60.00
Fractional positions:
Be 0.000 0.000 0.000
Be 0.250 0.250 0.250
Fe 0.750 0.750 0.750
Ni 0.500 0.500 0.500

(6)
BeFe2Ni: optimized geometry, PBE.

Calculated values
Crystal system   cubic
E   -6.5812 eV/atom

Lattice parameters (Å, degrees): 3.851 3.851 3.851 60.00 60.00 60.00
Fractional positions:
Be 0.000 0.000 0.000
Fe 0.500 0.500 0.500
Fe 0.750 0.750 0.750
Ni 0.250 0.250 0.250